## w
## Dy2Ge2O7 (GGA-PBE)

Data for an optimized crystal structure of Dy2Ge2O7.

Output
As for the crystal system: tetragonal. As for the space-group type: P4_12_12, No. 92. The size of the total moment is 0.0 Bohr magnetons per cell.

extended XYZ file:
```
44
Lattice="6.793 0.000 0.000 0.000 6.793 0.000 0.000 0.000 12.379" Properties=species:S:1:pos:R:3 pbc="T T T"
Dy 4.252 5.798 1.416
Dy 5.937 2.401 1.679
Dy 4.391 0.855 4.511
Dy 0.995 2.541 4.773
Dy 2.541 0.995 7.606
Dy 0.855 4.391 7.868
Dy 2.401 5.937 10.701
Dy 5.798 4.252 10.963
Ge 0.692 5.759 1.479
Ge 2.705 2.363 1.616
Ge 4.430 4.088 4.573
Ge 1.034 6.101 4.711
Ge 6.101 1.034 7.668
Ge 4.088 4.430 7.806
Ge 2.363 2.705 10.763
Ge 5.759 0.692 10.901
O 2.033 2.033 0.000
O 2.163 5.812 0.545
O 6.360 4.495 0.880
O 6.275 0.224 1.527
O 3.913 3.621 1.568
O 3.829 1.099 2.215
O 1.233 2.416 2.549
O 1.363 5.429 3.095
O 4.377 5.559 3.640
O 5.694 2.964 3.975
O 3.172 2.879 4.621
O 6.568 0.517 4.663
O 2.298 0.433 5.309
O 0.980 4.630 5.644
O 4.760 4.760 6.190
O 4.630 0.980 6.735
O 0.433 2.298 7.070
O 0.517 6.568 7.716
O 2.879 3.172 7.758
O 2.964 5.694 8.404
O 5.559 4.377 8.739
O 5.429 1.363 9.284
O 2.416 1.233 9.830
O 1.099 3.829 10.165
O 3.621 3.913 10.811
O 0.224 6.275 10.853
O 4.495 6.360 11.499
O 5.812 2.163 11.834
```

---

## x
## Dy2Ge2O7 (GGA-PBE)

Data for an optimized crystal structure of Dy2Ge2O7.

Output
As for the crystal system: triclinic. As for the space-group type: P-1, No. 2. The size of the total moment is 0.0 Bohr magnetons per cell.

extended XYZ file:
```
44
Lattice="12.224 -0.012 -0.216 -0.491 6.773 -0.089 -0.160 -0.212 6.776" Properties=species:S:1:pos:R:3 pbc="T T T"
Dy 1.224 2.227 0.239
Dy 4.344 0.523 0.665
Dy 0.978 5.555 2.029
Dy 7.537 1.465 2.356
Dy 4.036 5.083 4.115
Dy 10.595 0.994 4.442
Dy 7.229 6.026 5.805
Dy 10.349 4.322 6.231
Ge 4.315 4.129 0.827
Ge 10.729 0.949 0.932
Ge 6.961 4.890 2.446
Ge 9.827 4.420 3.072
Ge 1.746 2.129 3.398
Ge 4.612 1.659 4.025
Ge 0.844 5.600 5.539
Ge 7.258 2.420 5.644
O 11.043 2.285 -0.225
O 2.262 0.137 0.007
O 6.926 1.505 0.138
O 3.523 2.654 0.354
O 7.123 6.178 1.306
O 0.148 0.598 1.616
O 3.370 5.259 1.835
O 10.859 4.813 1.724
O 5.701 3.702 1.873
O 1.127 3.256 2.228
O 9.774 1.345 2.311
O 8.256 3.652 2.423
O 2.618 0.796 2.626
O 5.368 0.992 2.593
O 6.205 5.557 3.878
O 8.955 5.753 3.844
O 3.317 2.897 4.048
O 1.799 5.204 4.160
O 10.446 3.293 4.242
O 5.872 2.847 4.598
O 0.714 1.735 4.746
O 8.203 1.289 4.636
O 11.425 5.951 4.854
O 4.450 0.371 5.165
O 8.050 3.895 6.116
O 4.647 5.044 6.332
O 9.311 6.412 6.463
O 0.530 4.264 6.696
```

---

The computed energies, referenced to the most stable structure and given in meV/atom, are w 0; x 26.

---

## w
## Dy2SiGeOs (GGA-PBE)

Data for an optimized crystal structure of Dy2SiGeOs.

Output
As for the crystal system: monoclinic. As for the space-group type: C2/m, No. 12. The size of the total moment is 0.0 Bohr magnetons per cell.

extended XYZ file:
```
10
Lattice="5.352 -2.114 0.000 5.352 2.114 0.000 -4.831 0.000 8.913" Properties=species:S:1:pos:R:3 pbc="T T T"
Dy 1.427 0.000 1.036
Dy 9.058 0.000 2.908
Dy -3.185 0.000 6.004
Dy 4.445 0.000 7.876
Ge 4.616 0.000 1.118
Ge 1.257 0.000 7.795
Os 6.030 0.000 3.350
Os -0.158 0.000 5.563
Si 1.679 0.000 3.922
Si 4.194 0.000 4.990
```

---

## x
## Dy2SiGeOs (GGA-PBE)

Data for an optimized crystal structure of Dy2SiGeOs.

Output
As for the crystal system: monoclinic. As for the space-group type: C2/m, No. 12. The size of the total moment is 0.0 Bohr magnetons per cell.

extended XYZ file:
```
10
Lattice="5.398 -2.142 0.000 5.398 2.142 0.000 -4.814 0.000 8.797" Properties=species:S:1:pos:R:3 pbc="T T T"
Dy -0.800 0.000 1.583
Dy 6.946 0.000 3.431
Dy -0.964 0.000 5.365
Dy 6.782 0.000 7.214
Ge 6.648 0.000 0.549
Ge -0.665 0.000 8.248
Os 2.316 0.000 1.191
Os 3.666 0.000 7.605
Si 3.622 0.000 3.312
Si 2.360 0.000 5.484
```

---

The computed energies, referenced to the most stable structure and given in meV/atom, are w 0; x 106.

---

## w
## DyGePb (GGA-PBE)

Data for an optimized crystal structure of DyGePb.

Output
As for the crystal system: cubic. As for the space-group type: F-43m, No. 216. The size of the total moment is 0.0 Bohr magnetons per cell.

extended XYZ file:
```
3
Lattice="0.857 -4.860 -1.302 -1.238 -3.761 3.220 -3.922 -3.086 -1.068" Properties=species:S:1:pos:R:3 pbc="T T T"
Dy -1.076 -2.927 0.213
Ge 0.000 0.000 0.000
Pb -3.227 -8.780 0.638
```

---

## x
## DyGePb (GGA-PBE)

Data for an optimized crystal structure of DyGePb.

Output
As for the crystal system: cubic. As for the space-group type: F-43m, No. 216. The size of the total moment is 0.0 Bohr magnetons per cell.

extended XYZ file:
```
3
Lattice="0.000 3.527 3.527 3.527 0.000 3.527 3.527 3.527 0.000" Properties=species:S:1:pos:R:3 pbc="T T T"
Dy 0.000 0.000 0.000
Ge 1.764 1.764 1.764
Pb 5.291 5.291 5.291
```

---

The computed energies, referenced to the most stable structure and given in meV/atom, are w 0; x 106.

---

## w
## DyReGe (GGA-PBE)

Data for an optimized crystal structure of DyReGe.

Output
As for the crystal system: cubic. As for the space-group type: F-43m, No. 216. The size of the total moment is 0.0 Bohr magnetons per cell.

extended XYZ file:
```
3
Lattice="1.663 -0.414 4.098 -2.589 -1.433 3.313 0.646 -4.037 1.737" Properties=species:S:1:pos:R:3 pbc="T T T"
Dy -0.070 -1.471 2.287
Ge 0.000 0.000 0.000
Re -0.210 -4.413 6.861
```

---

## x
## DyReGe (GGA-PBE)

Data for an optimized crystal structure of DyReGe.

Output
As for the crystal system: cubic. As for the space-group type: F-43m, No. 216. The size of the total moment is 1.2 Bohr magnetons per cell.

extended XYZ file:
```
3
Lattice="-2.913 0.133 3.605 -4.361 -1.497 -0.487 -1.341 -3.940 2.044" Properties=species:S:1:pos:R:3 pbc="T T T"
Dy 0.000 0.000 0.000
Ge -2.154 -1.326 1.290
Re -6.461 -3.978 3.871
```

---

The computed energies, referenced to the most stable structure and given in meV/atom, are w 0; x 967.